{
  "formula": "Mn3SbIr",
  "functional": "PBE",
  "state": "relaxed",
  "cell": [[-0.6482, 1.8887, 4.3860], [-4.7405, 0.2794, -0.8209], [-0.5760, -4.4249, 1.8203]],
  "species": ["Sb", "Ir", "Mn", "Mn", "Mn"],
  "fractional_positions": [[0.5000, 0.5000, 0.5000], [0.0000, 0.0000, 0.0000], [0.0000, 0.5000, 0.0000], [0.0000, 0.0000, 0.5000], [0.5000, 0.0000, 0.0000]],
  "sg": "Pm-3m, No. 221",
  "e_form_raw_ev_per_atom": 0.775,
  "rho_kg_m3": 7103
}